(1)
{"formula": "PaAl2Zn3", "functional": "PBE-GGA", "state": "relaxed", "e_form_ev_per_atom": -0.059, "vol_a3_per_atom": 18.7, "de_polymorph_ev_per_atom": 0.000, "cell": [[-1.377, 3.258, 2.072], [-1.395, -2.471, 2.959], [13.131, 0.549, 3.809]], "species": ["Pa", "Pa", "Al", "Al", "Al", "Al", "Zn", "Zn", "Zn", "Zn", "Zn", "Zn"], "frac_coords": [[0.853, 0.853, 0.706], [0.147, 0.147, 0.294], [0.250, 0.750, 0.500], [0.750, 0.250, 0.500], [0.397, 0.397, 0.793], [0.603, 0.603, 0.207], [0.453, 0.953, 0.906], [0.953, 0.453, 0.906], [0.547, 0.047, 0.094], [0.307, 0.307, 0.613], [0.693, 0.693, 0.387], [0.047, 0.547, 0.094]]}

(2)
{"formula": "Pa2Al2Zn15", "functional": "PBE-GGA", "state": "relaxed", "e_form_ev_per_atom": -0.116, "vol_a3_per_atom": 16.3, "cell": [[6.810, -0.017, -0.015], [0.867, 6.754, -0.015], [0.867, 0.761, 6.711]], "species": ["Pa", "Pa", "Al", "Al", "Zn", "Zn", "Zn", "Zn", "Zn", "Zn", "Zn", "Zn", "Zn", "Zn", "Zn", "Zn", "Zn", "Zn", "Zn"], "frac_coords": [[0.336, 0.336, 0.336], [0.664, 0.664, 0.664], [0.101, 0.101, 0.101], [0.899, 0.899, 0.899], [0.500, 0.000, 0.000], [0.000, 0.000, 0.500], [0.000, 0.500, 0.000], [0.000, 0.699, 0.301], [0.699, 0.301, 0.000], [0.301, 0.000, 0.699], [0.301, 0.699, 0.000], [0.699, 0.000, 0.301], [0.000, 0.301, 0.699], [0.163, 0.646, 0.646], [0.646, 0.646, 0.163], [0.646, 0.163, 0.646], [0.837, 0.354, 0.354], [0.354, 0.354, 0.837], [0.354, 0.837, 0.354]]}

(3)
{"formula": "PaAlZn4", "functional": "PBE-GGA", "state": "relaxed", "e_form_ev_per_atom": 0.081, "vol_a3_per_atom": 18.0, "de_polymorph_ev_per_atom": 0.063, "cell": [[-4.546, -0.156, -2.808], [-0.905, -4.026, -3.399], [-3.718, -3.671, 1.134]], "species": ["Zn", "Zn", "Zn", "Zn", "Pa", "Al"], "frac_coords": [[0.625, 0.625, 0.125], [0.625, 0.125, 0.625], [0.625, 0.625, 0.625], [0.125, 0.625, 0.625], [0.250, 0.250, 0.250], [0.000, 0.000, 0.000]]}